Cs2PmH4 | PBE | relaxed

Calculated values
Its density of states at the Fermi level is 6.1 states/eV/cell.

Geometry as CIF:
```
data_Cs2PmH4
_symmetry_space_group_name_H-M 'I 4/m m m'
_symmetry_Int_Tables_number 139
_symmetry_space_group_name_Hall '-I 4 2'
_cell_length_a 4.579
_cell_length_b 4.579
_cell_length_c 16.009
_cell_angle_alpha 90.00
_cell_angle_beta 90.00
_cell_angle_gamma 90.00
loop_
_atom_site_label
_atom_site_fract_x
_atom_site_fract_y
_atom_site_fract_z
Cs1 0.000 0.000 0.156
Pm1 0.000 0.000 0.500
H1 0.000 0.000 0.354
H2 0.000 0.500 0.000
```



CsPm2H | PBE | relaxed

Calculated values
Its density of states at the Fermi level is 8.4 states/eV/cell.

Geometry as CIF:
```
data_CsPm2H
_symmetry_space_group_name_H-M 'R -3 m'
_symmetry_Int_Tables_number 166
_symmetry_space_group_name_Hall '-R 3 2"'
_cell_length_a 3.7800
_cell_length_b 3.7800
_cell_length_c 31.1166
_cell_angle_alpha 90.00
_cell_angle_beta 90.00
_cell_angle_gamma 120.00
loop_
_atom_site_label
_atom_site_fract_x
_atom_site_fract_y
_atom_site_fract_z
Cs1 0.0000 0.0000 0.0000
Pm1 0.0000 0.0000 0.1233
H1 0.0000 0.0000 0.5000
```



CsPmH6Pt2 | PBE | relaxed

Geometry as CIF:
```
data_CsPmH6Pt2
_symmetry_space_group_name_H-M 'C 1 2/c 1'
_symmetry_Int_Tables_number 15
_symmetry_space_group_name_Hall '-C 2yc'
_cell_length_a 9.238
_cell_length_b 9.165
_cell_length_c 7.760
_cell_angle_alpha 90.00
_cell_angle_beta 112.09
_cell_angle_gamma 90.00
loop_
_atom_site_label
_atom_site_fract_x
_atom_site_fract_y
_atom_site_fract_z
Cs1 0.000 0.091 0.250
Pm1 0.000 0.440 0.750
H1 0.022 0.357 0.041
H2 0.098 0.204 0.752
H3 0.227 0.407 0.336
Pt1 0.217 0.327 0.138
```



Cs2PrH4 | PBE | relaxed

Calculated values
Its density of states at the Fermi level is 6.3 states/eV/cell.

Geometry as CIF:
```
data_Cs2PrH4
_symmetry_space_group_name_H-M 'I 4/m m m'
_symmetry_Int_Tables_number 139
_symmetry_space_group_name_Hall '-I 4 2'
_cell_length_a 4.654
_cell_length_b 4.654
_cell_length_c 16.067
_cell_angle_alpha 90.00
_cell_angle_beta 90.00
_cell_angle_gamma 90.00
loop_
_atom_site_label
_atom_site_fract_x
_atom_site_fract_y
_atom_site_fract_z
Cs1 0.000 0.000 0.156
Pr1 0.000 0.000 0.500
H1 0.000 0.000 0.351
H2 0.000 0.500 0.000
```



CsPrH6Pt2 | PBE | relaxed

Geometry as CIF:
```
data_CsPrH6Pt2
_symmetry_space_group_name_H-M 'C 1 2/c 1'
_symmetry_Int_Tables_number 15
_symmetry_space_group_name_Hall '-C 2yc'
_cell_length_a 9.291
_cell_length_b 9.237
_cell_length_c 7.899
_cell_angle_alpha 90.00
_cell_angle_beta 112.36
_cell_angle_gamma 90.00
loop_
_atom_site_label
_atom_site_fract_x
_atom_site_fract_y
_atom_site_fract_z
Cs1 0.000 0.093 0.250
Pr1 0.000 0.440 0.750
H1 0.023 0.354 0.041
H2 0.097 0.200 0.762
H3 0.231 0.407 0.331
Pt1 0.218 0.326 0.135
```



Cs2PrH6Ru | PBE | relaxed

Calculated values
Its density of states at the Fermi level is 3.1 states/eV/cell.

Geometry as CIF:
```
data_Cs2PrH6Ru
_symmetry_space_group_name_H-M 'P -3 m 1'
_symmetry_Int_Tables_number 164
_symmetry_space_group_name_Hall '-P 3 2"'
_cell_length_a 6.5976
_cell_length_b 6.5976
_cell_length_c 5.8585
_cell_angle_alpha 90.00
_cell_angle_beta 90.00
_cell_angle_gamma 120.00
loop_
_atom_site_label
_atom_site_fract_x
_atom_site_fract_y
_atom_site_fract_z
Cs1 0.3333 0.6667 0.3737
Pr1 0.0000 0.0000 0.0000
H1 0.1253 0.2506 0.6709
Ru1 0.0000 0.0000 0.5000
```



Total DFT energy (no corrections) (hartree per atom)
-0.112, -0.123, -0.154, -0.112, -0.154, -0.140